# ZnH2S PBE optimized geometry
data_ZnH2S
_chemical_formula_sum 'Zn4 H8 S4'
_cell_length_a 5.3778
_cell_length_b 5.3778
_cell_length_c 7.6299
_cell_angle_alpha 90.00
_cell_angle_beta 90.00
_cell_angle_gamma 90.00
_symmetry_space_group_name_H-M 'P 1'
_symmetry_Int_Tables_number 1
_symmetry_space_group_name_Hall 'P 1'
loop_
_atom_site_label
_atom_site_type_symbol
_atom_site_fract_x
_atom_site_fract_y
_atom_site_fract_z
Zn1 Zn 0.0000 0.2500 0.3750
Zn2 Zn 0.0000 0.7500 0.6250
Zn3 Zn 0.5000 0.2500 0.1250
Zn4 Zn 0.5000 0.7500 0.8750
H1 H 0.0000 0.0000 0.0000
H2 H 0.0000 0.5000 0.0000
H3 H 0.2500 0.2500 0.7500
H4 H 0.2500 0.7500 0.2500
H5 H 0.5000 0.0000 0.5000
H6 H 0.5000 0.5000 0.5000
H7 H 0.7500 0.2500 0.7500
H8 H 0.7500 0.7500 0.2500
S1 S 0.0000 0.2500 0.8750
S2 S 0.0000 0.7500 0.1250
S3 S 0.5000 0.2500 0.6250
S4 S 0.5000 0.7500 0.3750
# DFT total energy (eV/cell): -44.30
# V (Å³ per cell): 220.66


# TlCuAsS2 PBE optimized geometry
data_TlCuAsS2
_chemical_formula_sum 'Tl2 Cu2 As2 S4'
_cell_length_a 6.6958
_cell_length_b 5.2278
_cell_length_c 7.0331
_cell_angle_alpha 90.00
_cell_angle_beta 97.75
_cell_angle_gamma 90.00
_symmetry_space_group_name_H-M 'P 1'
_symmetry_Int_Tables_number 1
_symmetry_space_group_name_Hall 'P 1'
loop_
_atom_site_label
_atom_site_type_symbol
_atom_site_fract_x
_atom_site_fract_y
_atom_site_fract_z
Tl1 Tl 0.0000 0.1693 0.2500
Tl2 Tl 0.0000 0.8307 0.7500
Cu1 Cu 0.5000 0.0000 0.0000
Cu2 Cu 0.5000 0.0000 0.5000
As1 As 0.5000 0.3769 0.2500
As2 As 0.5000 0.6231 0.7500
S1 S 0.2842 0.3092 0.9187
S2 S 0.2842 0.6908 0.4187
S3 S 0.7158 0.3092 0.5813
S4 S 0.7158 0.6908 0.0813
# DFT total energy (eV/cell): -39.05
# V (Å³ per cell): 243.94
# ΔE_f (raw) (eV/atom): -0.032


# LiCa2La PBE optimized geometry
data_LiCa2La
_chemical_formula_sum 'Li4 Ca8 La4'
_cell_length_a 9.0147
_cell_length_b 9.0147
_cell_length_c 7.0123
_cell_angle_alpha 90.00
_cell_angle_beta 90.00
_cell_angle_gamma 90.00
_symmetry_space_group_name_H-M 'P 1'
_symmetry_Int_Tables_number 1
_symmetry_space_group_name_Hall 'P 1'
loop_
_atom_site_label
_atom_site_type_symbol
_atom_site_fract_x
_atom_site_fract_y
_atom_site_fract_z
Li1 Li 0.0000 0.0000 0.0000
Li2 Li 0.0000 0.5000 0.2500
Li3 Li 0.5000 0.0000 0.7500
Li4 Li 0.5000 0.5000 0.5000
Ca1 Ca 0.1994 0.2500 0.1250
Ca2 Ca 0.2500 0.6994 0.3750
Ca3 Ca 0.2500 0.8006 0.8750
Ca4 Ca 0.3006 0.2500 0.6250
Ca5 Ca 0.6994 0.7500 0.6250
Ca6 Ca 0.7500 0.1994 0.8750
Ca7 Ca 0.7500 0.3006 0.3750
Ca8 Ca 0.8006 0.7500 0.1250
La1 La 0.0000 0.0000 0.5000
La2 La 0.0000 0.5000 0.7500
La3 La 0.5000 0.0000 0.2500
La4 La 0.5000 0.5000 0.0000
# DFT total energy (eV/cell): -39.03
# Formation energy from the elements (meV/atom): 272
# V (Å³ per cell): 569.86


# Y2MgRu PBE optimized geometry
data_Y2MgRu
_chemical_formula_sum 'Y4 Mg2 Ru2'
_cell_length_a 4.3632
_cell_length_b 4.3632
_cell_length_c 9.5215
_cell_angle_alpha 90.00
_cell_angle_beta 90.00
_cell_angle_gamma 90.00
_symmetry_space_group_name_H-M 'P 1'
_symmetry_Int_Tables_number 1
_symmetry_space_group_name_Hall 'P 1'
loop_
_atom_site_label
_atom_site_type_symbol
_atom_site_fract_x
_atom_site_fract_y
_atom_site_fract_z
Y1 Y 0.0000 0.0000 0.0000
Y2 Y 0.0000 0.5000 0.2500
Y3 Y 0.5000 0.0000 0.7500
Y4 Y 0.5000 0.5000 0.5000
Mg1 Mg 0.0000 0.5000 0.7500
Mg2 Mg 0.5000 0.0000 0.2500
Ru1 Ru 0.0000 0.0000 0.5000
Ru2 Ru 0.5000 0.5000 0.0000
# DFT total energy (eV/cell): -47.41
# Formation energy from the elements (meV/atom): 24
# V (Å³ per cell): 181.26